Entry 1:
{"formula": "CoPbBr2", "functional": "PBE-GGA", "state": "relaxed", "dft_energy_ev_per_atom": -3.466, "formation_energy_uncorrected_ev_per_atom": 0.074, "rho_g_cm3": 6.9, "lattice": [[3.478, 0.000, 0.000], [0.000, 3.478, 0.000], [0.000, 0.000, 8.466]], "species": ["Br", "Br", "Co", "Pb"], "frac_coords": [[0.000, 0.000, 0.961], [0.500, 0.500, 0.351], [0.000, 0.000, 0.465], [0.500, 0.500, 0.723]]}

---

Entry 2:
{"formula": "PuAl4Ge2", "functional": "PBE-GGA", "state": "relaxed", "dft_energy_ev_per_atom": -5.633, "rho_g_cm3": 6.3, "delta_e_f_mev_per_atom": -128, "lattice": [[-2.269, 1.272, -3.118], [-2.420, -3.205, 0.454], [-3.360, 5.765, 4.797]], "species": ["Ge", "Ge", "Al", "Al", "Al", "Al", "Pu"], "frac_coords": [[0.500, 0.579, 0.159], [0.500, 0.421, 0.841], [0.500, 0.813, 0.627], [0.000, 0.689, 0.377], [0.500, 0.187, 0.373], [0.000, 0.311, 0.623], [0.000, 0.000, 0.000]]}

---

Entry 3:
{"formula": "Sm3FeGe3", "functional": "PBE-GGA", "state": "relaxed", "dft_energy_ev_per_atom": -5.907, "rho_g_cm3": 7.7, "delta_e_f_mev_per_atom": -697, "lattice": [[-3.405, 0.457, -2.586], [0.628, -3.097, -4.950], [-7.302, -10.470, 4.189]], "species": ["Sm", "Sm", "Sm", "Sm", "Sm", "Sm", "Fe", "Fe", "Ge", "Ge", "Ge", "Ge", "Ge", "Ge"], "frac_coords": [[0.527, 0.329, 0.618], [0.473, 0.671, 0.382], [0.254, 0.263, 0.230], [0.746, 0.737, 0.770], [0.401, 0.278, 0.920], [0.599, 0.722, 0.080], [0.759, 0.075, 0.407], [0.241, 0.925, 0.593], [0.855, 0.745, 0.545], [0.145, 0.255, 0.455], [0.121, 0.834, 0.925], [0.879, 0.166, 0.075], [0.952, 0.855, 0.241], [0.048, 0.145, 0.759]]}

---

Entry 4:
{"formula": "Mg2POs", "functional": "PBE-GGA", "state": "relaxed", "dft_energy_ev_per_atom": -4.873, "rho_g_cm3": 7.2, "delta_e_f_mev_per_atom": 84, "lattice": [[6.189, -0.006, -0.017], [-2.475, 4.233, 0.005], [1.241, 0.718, 2.360]], "species": ["Mg", "Mg", "Os", "P"], "frac_coords": [[0.000, 0.000, 0.000], [0.500, 0.000, 0.500], [0.000, 0.500, 0.500], [0.500, 0.500, 0.000]]}